# NdHo2WO8

An optimized crystal structure of NdHo2WO8 (PBE with a Hubbard U, Alexandria via LeMat-Bulk).

calculated density = 7.37 g/cm3
total magnetization = 0.073 μB per atom
density of states at the Fermi level = 9.31 states/eV/cell
raw total energy = -7.8944 eV/atom

a = 7.097 Å, b = 7.161 Å, c = 6.967 Å
α = 90.00°, β = 90.00°, γ = 90.00°
Space group Cmmm (No. 65)
Unique sites:
Nd 0.000 0.000 0.000 [2 per cell]
Ho 0.000 0.500 0.259 [4 per cell]
W 0.000 0.000 0.500 [2 per cell]
O 0.000 0.185 0.294 [8 per cell]
O 0.181 0.500 0.000 [4 per cell]
O 0.223 0.500 0.500 [4 per cell]